Here is an optimized crystal structure of SiMoOs2 from Alexandria via LeMat-Bulk. Energies are from PBE.

a b c (Å): 9.569 2.821 4.533
angles (deg): 90.00 110.98 90.00
Space group Cm (No. 8)
Unique sites:
Si: 0.000 0.000 0.000 x2
Mo: 0.236 0.500 0.136 x2
Os: 0.033 0.500 0.498 x2
Os: 0.287 0.000 0.664 x2

## Properties
Formation energy (no corrections)   -0.06 eV/atom
Crystal system   monoclinic
E_tot   -9.74 eV/atom

***

Here is an optimized crystal structure of SiMoOs from Alexandria via LeMat-Bulk. Energies are from PBE.

a b c (Å): 3.040 4.656 12.291
angles (deg): 90.00 90.00 90.00
Space group Fmm2 (No. 42)
Unique sites:
Si: 0.000 0.000 0.000 x4
Mo: 0.000 0.000 0.336 x4
Os: 0.000 0.000 0.654 x4

## Properties
Formation energy (no corrections)   0.18 eV/atom
Crystal system   orthorhombic
E_tot   -8.98 eV/atom

***

Here is an optimized crystal structure of SiMoOs2 from Alexandria via LeMat-Bulk. Energies are from PBE.

a b c (Å): 2.895 2.895 6.666
angles (deg): 90.00 90.00 90.00
Space group P4/mmm (No. 123)
Unique sites:
Si: 0.000 0.000 0.000 x1
Mo: 0.000 0.000 0.500 x1
Os: 0.500 0.500 0.219 x2

## Properties
Formation energy (no corrections)   -0.20 eV/atom
Crystal system   tetragonal
E_tot   -9.88 eV/atom

***

Here is an optimized crystal structure of SiMoOs2 from Alexandria via LeMat-Bulk. Energies are from PBE.

a b c (Å): 2.873 4.449 4.505
angles (deg): 90.00 90.00 90.00
Space group Pmmm (No. 47)
Unique sites:
Si: 0.000 0.000 0.000 x1
Mo: 0.500 0.000 0.500 x1
Os: 0.000 0.500 0.500 x1
Os: 0.500 0.500 0.000 x1

## Properties
Formation energy (no corrections)   0.16 eV/atom
Crystal system   orthorhombic
E_tot   -9.52 eV/atom

***

Here is an optimized crystal structure of Si2MoOs from Alexandria via LeMat-Bulk. Energies are from PBE.

a b c (Å): 6.539 6.539 5.822
angles (deg): 90.00 90.00 90.00
Space group I-42d (No. 122)
Unique sites:
Si: 0.230 0.250 0.125 x8
Mo: 0.000 0.000 0.500 x4
Os: 0.000 0.000 0.000 x4

## Properties
Formation energy (no corrections)   0.45 eV/atom
Crystal system   tetragonal
E_tot   -7.77 eV/atom

***

Here is an optimized crystal structure of Si2MoOs from Alexandria via LeMat-Bulk. Energies are from PBE.

a b c (Å): 8.765 2.954 4.454
angles (deg): 90.00 107.06 90.00
Space group Cm (No. 8)
Unique sites:
Si: 0.000 0.000 0.000 x2
Si: 0.249 0.500 0.320 x2
Mo: 0.249 0.000 0.836 x2
Os: 0.493 0.000 0.467 x2

## Properties
Formation energy (no corrections)   -0.28 eV/atom
Crystal system   monoclinic
E_tot   -8.51 eV/atom